Compound: Sn8Pd5Au
Source: the Alexandria database
Functional: PBE-GGA
Structure: relaxed

The structure belongs to space group I-4 (No. 82); the cell edges are 9.403, 9.403 and 6.872 Å and the angles 90.00°, 90.00° and 90.00°. Symmetry generates all atoms from Sn at (0.031, 0.182, 0.344), Sn at (0.031, 0.308, 0.896), Pd at (0.000, 0.000, 0.000), Pd at (0.240, 0.249, 0.621) and Au at (0.000, 0.500, 0.250).

Its formation enthalpy at 0 K is -0.314 eV/atom. The size of the total moment is 0.0 μB/f.u.